[1]
This record from Alexandria describes a relaxed Na3MnSb3Se8 crystal. The functional is PBE.

Calculated values
Energy relative to the elements, uncorrected, eV per atom: -0.573
Space-group type: No. 166

a = 8.086 Å, b = 8.087 Å, c = 8.571 Å
α = 118.17°, β = 90.00°, γ = 119.99°
Site moments in Bohr magnetons follow the coordinates.
Atoms (fractional coordinates):
Na: 0.000 0.000 0.000  0.00
Na: 0.000 0.500 0.000  0.00
Na: 0.500 0.500 0.000  0.00
Mn: 0.000 0.000 0.500  2.96
Sb: 0.500 0.000 0.500  0.02
Sb: 0.500 0.500 0.500  0.02
Sb: 0.000 0.500 0.500  0.02
Se: 0.255 0.510 0.265  0.00
Se: 0.745 0.490 0.735  0.00
Se: 0.785 0.569 0.294  -0.03
Se: 0.215 0.431 0.706  -0.03
Se: 0.784 0.010 0.294  -0.03
Se: 0.216 0.990 0.706  -0.03
Se: 0.225 0.010 0.294  -0.03
Se: 0.775 0.990 0.706  -0.03



[2]
This record from Alexandria describes a relaxed Sc3Ge2Pd8 crystal. The functional is PBE.

Calculated values
Calculated formation energy, eV per atom: -0.5387
Space-group type: No. 166

a = 5.365 Å, b = 5.365 Å, c = 9.811 Å
α = 74.13°, β = 74.13°, γ = 60.00°
Atoms (fractional coordinates):
Sc: 0.000 0.000 0.000
Sc: 0.809 0.809 0.573
Sc: 0.191 0.191 0.427
Ge: 0.630 0.630 0.111
Ge: 0.370 0.370 0.889
Pd: 0.715 0.715 0.856
Pd: 0.285 0.285 0.144
Pd: 0.223 0.730 0.316
Pd: 0.730 0.223 0.316
Pd: 0.730 0.730 0.316
Pd: 0.270 0.777 0.684
Pd: 0.777 0.270 0.684
Pd: 0.270 0.270 0.684



DOS at the Fermi energy, respectively: 4.0, 8.3 states/eV/cell.